(1)
VASP calculation (PBE) on crystalline CsNa2S at its relaxed geometry.

## Properties
E_form (uncorrected), kcal/mol of atoms: -12.95
Total magnetic moment, μB per formula unit: 0.0
Symmetry: I4_1/amd (141)
Volume, Å³/f.u.: 220.2

a b c (Å): 8.576 8.576 8.522
angles (deg): 59.79 59.79 90.00
Fractional positions:
Cs1 0.000 0.000 0.000
Cs2 0.750 0.250 0.500
Na1 0.375 0.125 0.250
Na2 0.375 0.625 0.250
Na3 0.375 0.625 0.750
Na4 0.875 0.625 0.750
S1 0.500 0.500 0.000
S2 0.250 0.750 0.500

***

(2)
VASP calculation (PBE) on crystalline Cs2NaS at its relaxed geometry.

## Properties
E_form (uncorrected), kcal/mol of atoms: -15.34
Total magnetic moment, μB per formula unit: 0.0
Symmetry: I-42d (122)
Excess energy over the best structure of this formula in the dataset, meV per atom: 0
Volume, Å³/f.u.: 243.5

a b c (Å): 13.545 13.545 9.939
angles (deg): 47.05 47.05 90.00
Fractional positions:
Cs1 0.821 0.125 0.250
Cs2 0.929 0.625 0.250
Cs3 0.375 0.179 0.750
Cs4 0.875 0.071 0.750
Na1 0.500 0.500 0.000
Na2 0.250 0.750 0.500
S1 0.000 0.000 0.000
S2 0.750 0.250 0.500

***

(3)
VASP calculation (PBE) on crystalline CsNa2S at its relaxed geometry.

## Properties
E_form (uncorrected), kcal/mol of atoms: -14.03
Total magnetic moment, μB per formula unit: 0.0
Symmetry: R-3m (166)
Volume, Å³/f.u.: 167.8

a b c (Å): 4.650 4.650 9.357
angles (deg): 75.61 75.61 60.00
Fractional positions:
Cs1 0.500 0.500 0.500
Na1 0.301 0.301 0.098
Na2 0.699 0.699 0.902
S1 0.000 0.000 0.000

***

(4)
VASP calculation (PBE) on crystalline Cs12Na3S5 at its relaxed geometry.

## Properties
E_form (uncorrected), kcal/mol of atoms: -13.29
Total magnetic moment, μB per formula unit: 1.2
Symmetry: Ia-3d (230)
Volume, Å³/f.u.: 1355.8

a b c (Å): 19.170 19.170 19.170
angles (deg): 109.47 109.47 109.47
Fractional positions:
Na1 0.750 0.375 0.125
Na2 0.875 0.750 0.125
Na3 0.375 0.750 0.625
Na4 0.250 0.125 0.375
Na5 0.875 0.125 0.250
Na6 0.375 0.625 0.250
Na7 0.625 0.375 0.750
Na8 0.125 0.875 0.750
Na9 0.750 0.875 0.625
Na10 0.625 0.250 0.375
Na11 0.125 0.250 0.875
Na12 0.250 0.625 0.875
S1 0.125 0.375 0.250
S2 0.000 0.500 0.000
S3 0.000 0.000 0.000
S4 0.375 0.250 0.125
S5 0.500 0.000 0.500
S6 0.500 0.500 0.000
S7 0.125 0.750 0.375
S8 0.750 0.125 0.875
S9 0.750 0.625 0.375
S10 0.375 0.125 0.750
S11 0.625 0.875 0.250
S12 0.500 0.500 0.500
S13 0.500 0.000 0.000
S14 0.000 0.000 0.500
S15 0.250 0.375 0.625
S16 0.250 0.875 0.125
S17 0.000 0.500 0.500
S18 0.875 0.250 0.625
S19 0.625 0.750 0.875
S20 0.875 0.625 0.750
Cs1 0.693 0.102 0.011
Cs2 0.318 0.511 0.409
Cs3 0.989 0.398 0.307
Cs4 0.511 0.193 0.102
Cs5 0.591 0.693 0.682
Cs6 0.989 0.591 0.182
Cs7 0.318 0.807 0.409
Cs8 0.091 0.909 0.102
Cs9 0.591 0.989 0.682
Cs10 0.693 0.591 0.182
Cs11 0.807 0.489 0.398
Cs12 0.818 0.909 0.011
Cs13 0.102 0.693 0.511
Cs14 0.398 0.409 0.091
Cs15 0.091 0.909 0.398
Cs16 0.409 0.102 0.591
Cs17 0.091 0.182 0.193
Cs18 0.489 0.682 0.091
Cs19 0.818 0.909 0.307
Cs20 0.102 0.409 0.091
Cs21 0.398 0.989 0.807
Cs22 0.591 0.602 0.409
Cs23 0.909 0.818 0.511
Cs24 0.807 0.318 0.909
Cs25 0.409 0.398 0.591
Cs26 0.091 0.182 0.489
Cs27 0.193 0.682 0.091
Cs28 0.182 0.091 0.693
Cs29 0.602 0.011 0.193
Cs30 0.898 0.591 0.909
Cs31 0.511 0.318 0.909
Cs32 0.591 0.898 0.409
Cs33 0.909 0.818 0.807
Cs34 0.909 0.091 0.602
Cs35 0.898 0.307 0.489
Cs36 0.182 0.091 0.989
Cs37 0.602 0.591 0.909
Cs38 0.409 0.011 0.318
Cs39 0.307 0.409 0.818
Cs40 0.193 0.511 0.602
Cs41 0.909 0.091 0.898
Cs42 0.682 0.193 0.591
Cs43 0.489 0.807 0.898
Cs44 0.011 0.409 0.818
Cs45 0.409 0.307 0.318
Cs46 0.011 0.602 0.693
Cs47 0.682 0.489 0.591
Cs48 0.307 0.898 0.989

***

(5)
VASP calculation (PBE) on crystalline Cs2Na12S7 at its relaxed geometry.

## Properties
E_form (uncorrected), kcal/mol of atoms: -24.00
Total magnetic moment, μB per formula unit: 0.0
Symmetry: P-3 (147)
Volume, Å³/f.u.: 515.2

a b c (Å): 4.540 11.446 11.446
angles (deg): 120.00 90.00 90.00
Fractional positions:
Cs1 0.253 0.333 0.667
Cs2 0.747 0.667 0.333
Na1 0.251 0.623 0.058
Na2 0.251 0.434 0.377
Na3 0.251 0.942 0.566
Na4 0.749 0.377 0.942
Na5 0.749 0.566 0.623
Na6 0.749 0.058 0.434
Na7 0.255 0.114 0.250
Na8 0.255 0.135 0.886
Na9 0.255 0.750 0.865
Na10 0.745 0.886 0.750
Na11 0.745 0.865 0.114
Na12 0.745 0.250 0.135
S1 0.500 0.000 0.000
S2 0.243 0.894 0.296
S3 0.243 0.402 0.106
S4 0.243 0.704 0.598
S5 0.757 0.106 0.704
S6 0.757 0.598 0.894
S7 0.757 0.296 0.402

***

(6)
VASP calculation (PBE) on crystalline CsNaS at its relaxed geometry.

## Properties
E_form (uncorrected), kcal/mol of atoms: -18.34
Total magnetic moment, μB per formula unit: 0.0
Symmetry: I4mm (107)
Volume, Å³/f.u.: 95.9

a b c (Å): 4.041 4.041 6.529
angles (deg): 108.03 108.03 90.00
Fractional positions:
Cs1 0.016 0.016 0.032
Na1 0.269 0.269 0.539
S1 0.714 0.714 0.429